Density functional theory data (PBE-GGA) for TeP2IrCl after structural relaxation.

Properties
energy	-4.518	eV per atom
density of states at the Fermi level	2.639	states/eV/f.u.
crystal system	tetragonal
space group	No. 123
E above lowest polymorph	0.0	meV per atom
formation energy without anion corrections	0.416	eV/atom
theoretical density	6.63	g cm⁻³
size of the total moment	0.000	μB per atom

a b c (Å): 4.6841 4.6841 4.7647
angles (deg): 90.00 90.00 90.00
With the nearest neighbours (Å) after each atom.
Positions (direct):
P (0.0000, 0.5000, 0.0000)  2 Ir 2.34
P (0.5000, 0.0000, 0.0000)  2 Ir 2.34
Ir (0.0000, 0.0000, 0.0000)  4 P 2.34, 2 Cl 2.38
Te (0.5000, 0.5000, 0.5000)  4 Cl 3.31, 8 P 3.34
Cl (0.0000, 0.0000, 0.5000)  2 Ir 2.38

***

Density functional theory data (PBE-GGA) for TePIrCl2 after structural relaxation.

Properties
energy	-3.865	eV per atom
density of states at the Fermi level	4.196	states/eV/f.u.
crystal system	tetragonal
space group	No. 123
E above lowest polymorph	0.0	meV per atom
formation energy without anion corrections	0.356	eV/atom
theoretical density	6.47	g cm⁻³
size of the total moment	0.045	μB per atom

a b c (Å): 4.7957 4.7957 4.7079
angles (deg): 90.00 90.00 90.00
With the nearest neighbours (Å) after each atom.
Positions (direct):
P (0.0000, 0.0000, 0.5000)  2 Ir 2.35
Ir (0.0000, 0.0000, 0.0000)  2 P 2.35, 4 Cl 2.40
Te (0.5000, 0.5000, 0.5000)  8 Cl 3.36, 4 P 3.39
Cl (0.0000, 0.5000, 0.0000)  2 Ir 2.40
Cl (0.5000, 0.0000, 0.0000)  2 Ir 2.40

***

Density functional theory data (PBE-GGA) for TeP2IrCl after structural relaxation.

Properties
energy	-3.158	eV per atom
density of states at the Fermi level	9.582	states/eV/f.u.
crystal system	tetragonal
space group	No. 123
E above lowest polymorph	1360.0	meV per atom
formation energy without anion corrections	1.776	eV/atom
theoretical density	5.54	g cm⁻³
size of the total moment	0.180	μB per atom

a b c (Å): 5.0734 5.0734 4.8555
angles (deg): 90.00 90.00 90.00
With the nearest neighbours (Å) after each atom.
Positions (direct):
P (0.0000, 0.5000, 0.0000)  2 Te 2.54
P (0.5000, 0.0000, 0.0000)  2 Te 2.54
Ir (0.5000, 0.5000, 0.5000)  8 P 3.51, 4 Cl 3.59
Te (0.0000, 0.0000, 0.0000)  2 Cl 2.43, 4 P 2.54
Cl (0.0000, 0.0000, 0.5000)  2 Te 2.43

***

Density functional theory data (PBE-GGA) for TePIrCl2 after structural relaxation.

Properties
energy	-2.827	eV per atom
density of states at the Fermi level	9.524	states/eV/f.u.
crystal system	tetragonal
space group	No. 123
E above lowest polymorph	1038.3	meV per atom
formation energy without anion corrections	1.395	eV/atom
theoretical density	5.00	g cm⁻³
size of the total moment	0.409	μB per atom

a b c (Å): 5.0184 5.0184 5.5654
angles (deg): 90.00 90.00 90.00
With the nearest neighbours (Å) after each atom.
Positions (direct):
P (0.0000, 0.0000, 0.5000)  2 Te 2.78
Ir (0.5000, 0.5000, 0.5000)  4 P 3.55, 8 Cl 3.75
Te (0.0000, 0.0000, 0.0000)  4 Cl 2.51, 2 P 2.78
Cl (0.0000, 0.5000, 0.0000)  2 Te 2.51
Cl (0.5000, 0.0000, 0.0000)  2 Te 2.51

***

Density functional theory data (PBE-GGA) for TiPIrCl2 after structural relaxation.

Properties
energy	-4.713	eV per atom
density of states at the Fermi level	8.396	states/eV/f.u.
crystal system	tetragonal
space group	No. 123
E above lowest polymorph	0.0	meV per atom
formation energy without anion corrections	0.459	eV/atom
theoretical density	5.35	g cm⁻³
size of the total moment	0.450	μB per atom

a b c (Å): 4.4967 4.4967 5.2487
angles (deg): 90.00 90.00 90.00
With the nearest neighbours (Å) after each atom.
Positions (direct):
Cl (0.0000, 0.5000, 0.0000)  2 Ti 2.25
Cl (0.5000, 0.0000, 0.0000)  2 Ti 2.25
Ir (0.5000, 0.5000, 0.5000)  4 P 3.18, 8 Cl 3.46
P (0.0000, 0.0000, 0.5000)  2 Ti 2.62
Ti (0.0000, 0.0000, 0.0000)  4 Cl 2.25

***

Density functional theory data (PBE-GGA) for TiPIrCl2 after structural relaxation.

Properties
energy	-4.627	eV per atom
density of states at the Fermi level	9.560	states/eV/f.u.
crystal system	tetragonal
space group	No. 123
E above lowest polymorph	85.4	meV per atom
formation energy without anion corrections	0.545	eV/atom
theoretical density	5.35	g cm⁻³
size of the total moment	0.000	μB per atom

a b c (Å): 4.8033 4.8033 4.5987
angles (deg): 90.00 90.00 90.00
With the nearest neighbours (Å) after each atom.
Positions (direct):
Cl (0.0000, 0.5000, 0.0000)  2 Ir 2.40
Cl (0.5000, 0.0000, 0.0000)  2 Ir 2.40
Ir (0.0000, 0.0000, 0.0000)  2 P 2.30, 4 Cl 2.40
P (0.0000, 0.0000, 0.5000)  2 Ir 2.30
Ti (0.5000, 0.5000, 0.5000)  8 Cl 3.32, 4 P 3.40